DFT (PBE) results for Ce2SmAlN after structural relaxation.

## Properties
Formation energy without anion corrections (eV per atom): -0.750
Crystal system: tetragonal

The structure in CIF format:
```
data_Ce2SmAlN
_space_group_name_H-M_alt 'P 4/m m m'
_space_group_IT_number 123
_space_group_name_Hall '-P 4 2'
_cell_length_a 4.835
_cell_length_b 4.835
_cell_length_c 4.973
_cell_angle_alpha 90.00
_cell_angle_beta 90.00
_cell_angle_gamma 90.00
loop_
_atom_site_label
_atom_site_type_symbol
_atom_site_fract_x
_atom_site_fract_y
_atom_site_fract_z
_atom_site_occupancy
Ce1 Ce 0.000 0.500 0.000 1
Sm1 Sm 0.000 0.000 0.500 1
Al1 Al 0.500 0.500 0.500 1
N1 N 0.000 0.000 0.000 1
```

=====

DFT (PBE) results for NbFe after structural relaxation.

## Properties
Crystal system: orthorhombic
Formation enthalpy at 0 K (eV per formula unit): 0.48

The structure in CIF format:
```
data_NbFe
_space_group_name_H-M_alt 'F 2 2 2'
_space_group_IT_number 22
_space_group_name_Hall 'F 2 2'
_cell_length_a 2.648
_cell_length_b 5.438
_cell_length_c 8.452
_cell_angle_alpha 90.00
_cell_angle_beta 90.00
_cell_angle_gamma 90.00
loop_
_atom_site_label
_atom_site_type_symbol
_atom_site_fract_x
_atom_site_fract_y
_atom_site_fract_z
_atom_site_occupancy
Nb1 Nb 0.000 0.000 0.000 1
Fe1 Fe 0.250 0.250 0.750 1
```

=====

| no. | VASP energy (eV per atom) |
| --- | --- |
| 1 | -6.48 |
| 2 | -9.03 |